# 1
## ReMoOs (PBE)

Data for an optimized crystal structure of ReMoOs.

Output
**Uncorrected energy**: -32.50 eV/cell
**Magnetic moment**: 0.0 μB/f.u.
**Space group**: F-43m
**Formation enthalpy at 0 K**: 0.666 eV per atom
**E above lowest polymorph**: 0 meV per atom

```
3
Lattice="0.000 2.984 2.984 2.984 0.000 2.984 2.984 2.984 0.000" Properties=species:S:1:pos:R:3 pbc="T T T"
Re 0.000 0.000 0.000
Mo 4.476 4.476 4.476
Os 1.492 1.492 1.492
```

=====

# 2
## DyThTc (PBE)

Data for an optimized crystal structure of DyThTc.

Output
**Uncorrected energy**: -19.83 eV/cell
**Magnetic moment**: 0.0 μB/f.u.
**Space group**: F-43m
**Formation enthalpy at 0 K**: 0.848 eV per atom
**E above lowest polymorph**: 0 meV per atom

```
3
Lattice="0.000 3.384 3.384 3.384 0.000 3.384 3.384 3.384 0.000" Properties=species:S:1:pos:R:3 pbc="T T T"
Dy 0.000 0.000 0.000
Th 1.692 1.692 1.692
Tc 5.076 5.076 5.076
```

=====

# 3
## LaGa2CuPd2 (PBE)

Data for an optimized crystal structure of LaGa2CuPd2.

Output
**Uncorrected energy**: -28.92 eV/cell
**Magnetic moment**: 0.0 μB/f.u.
**Space group**: Cmmm

```
6
Lattice="2.857 -4.750 0.000 2.857 4.750 0.000 0.000 0.000 4.040" Properties=species:S:1:pos:R:3 pbc="T T T"
La 0.000 0.000 0.000
Ga 2.857 1.511 0.000
Ga 2.857 -1.511 0.000
Cu 2.857 0.000 2.020
Pd 1.429 2.375 2.020
Pd 1.429 -2.375 2.020
```

=====

# 4
## ErCdNO (PBE)

Data for an optimized crystal structure of ErCdNO.

Output
**Uncorrected energy**: -49.08 eV/cell
**Magnetic moment**: 0.0 μB/f.u.
**Space group**: Pmc2_1
**E above lowest polymorph**: 24 meV per atom

```
8
Lattice="3.846 0.000 0.000 0.000 6.208 0.000 0.000 0.000 5.514" Properties=species:S:1:pos:R:3 pbc="T T T"
Er 0.000 1.152 0.000
Er 0.000 5.056 2.757
Cd 1.923 1.896 2.705
Cd 1.923 4.312 5.461
N 0.000 0.980 2.223
N 0.000 5.228 4.979
O 1.923 2.048 5.062
O 1.923 4.160 2.306
```

=====

# 5
## YMgFeSn (PBE)

Data for an optimized crystal structure of YMgFeSn.

Output
**Uncorrected energy**: -20.44 eV/cell
**Magnetic moment**: 1.3 μB/f.u.
**Space group**: F-43m
**E above lowest polymorph**: 0 meV per atom

```
4
Lattice="0.000 3.398 3.398 3.398 0.000 3.398 3.398 3.398 0.000" Properties=species:S:1:pos:R:3 pbc="T T T"
Y 0.000 0.000 0.000
Mg 1.699 1.699 1.699
Fe 5.098 5.098 5.098
Sn 3.398 3.398 3.398
```

=====

# 6
## TaCoHgBi (PBE)

Data for an optimized crystal structure of TaCoHgBi.

Output
**Uncorrected energy**: -20.35 eV/cell
**Magnetic moment**: 1.3 μB/f.u.
**Space group**: F-43m
**E above lowest polymorph**: 0 meV per atom

```
4
Lattice="0.000 3.364 3.364 3.364 0.000 3.364 3.364 3.364 0.000" Properties=species:S:1:pos:R:3 pbc="T T T"
Ta 0.000 0.000 0.000
Co 3.364 3.364 3.364
Hg 5.046 5.046 5.046
Bi 1.682 1.682 1.682
```

=====

# 7
## Mg3W (PBE)

Data for an optimized crystal structure of Mg3W.

Output
**Uncorrected energy**: -30.77 eV/cell
**Magnetic moment**: 0.2 μB/f.u.
**Space group**: P6_3/mmc
**E above lowest polymorph**: 228 meV per atom

```
8
Lattice="5.911 0.000 0.000 -2.956 5.119 0.000 0.000 0.000 4.917" Properties=species:S:1:pos:R:3 pbc="T T T"
Mg 0.000 1.759 1.229
Mg -1.432 4.240 1.229
Mg 1.524 0.880 3.688
Mg 1.432 4.240 1.229
Mg 4.388 0.880 3.688
Mg 2.956 3.360 3.688
W 0.000 3.413 3.688
W 2.956 1.706 1.229
```

=====

# 8
## GdMgOs (PBE)

Data for an optimized crystal structure of GdMgOs.

Output
**Uncorrected energy**: -14.65 eV/cell
**Magnetic moment**: 0.0 μB/f.u.
**Space group**: F-43m

```
3
Lattice="0.000 3.314 3.314 3.314 0.000 3.314 3.314 3.314 0.000" Properties=species:S:1:pos:R:3 pbc="T T T"
Gd 0.000 0.000 0.000
Mg 4.970 4.970 4.970
Os 1.657 1.657 1.657
```

=====

# 9
## ZrCu (PBE)

Data for an optimized crystal structure of ZrCu.

Output
**Uncorrected energy**: -48.97 eV/cell
**Magnetic moment**: 0.0 μB/f.u.
**Space group**: Pmmn
**Formation enthalpy at 0 K**: 0.011 eV per atom

```
8
Lattice="3.178 0.000 0.000 0.000 4.587 0.000 0.000 0.000 9.574" Properties=species:S:1:pos:R:3 pbc="T T T"
Zr 0.795 1.147 0.491
Zr 0.795 3.440 2.553
Zr 2.384 1.147 7.021
Zr 2.384 3.440 9.083
Cu 0.795 1.147 4.824
Cu 0.795 3.440 6.601
Cu 2.384 1.147 2.973
Cu 2.384 3.440 4.750
```

=====

# 10
## ZnTcPd (PBE)

Data for an optimized crystal structure of ZnTcPd.

Output
**Uncorrected energy**: -15.37 eV/cell
**Magnetic moment**: 1.1 μB/f.u.
**Space group**: F-43m
**Formation enthalpy at 0 K**: 0.475 eV per atom
**E above lowest polymorph**: 0 meV per atom

```
3
Lattice="0.000 2.959 2.959 2.959 0.000 2.959 2.959 2.959 0.000" Properties=species:S:1:pos:R:3 pbc="T T T"
Zn 0.000 0.000 0.000
Tc 2.959 2.959 2.959
Pd 4.439 4.439 4.439
```

=====

# 11
## Zr4GaSbC2 (PBE)

Data for an optimized crystal structure of Zr4GaSbC2.

Output
**Uncorrected energy**: -65.80 eV/cell
**Magnetic moment**: 0.0 μB/f.u.
**Space group**: P-6m2

```
8
Lattice="3.383 0.000 0.000 -1.692 2.930 0.000 0.000 0.000 14.231" Properties=species:S:1:pos:R:3 pbc="T T T"
Zr 0.000 0.000 2.267
Zr 0.000 0.000 11.964
Zr 1.692 0.977 4.773
Zr 1.692 0.977 9.458
Ga 1.692 0.977 0.000
Sb 0.000 0.000 7.116
C 0.000 1.953 3.514
C 0.000 1.953 10.717
```

=====

# 12
## Mg3B7Mo (PBE)

Data for an optimized crystal structure of Mg3B7Mo.

Output
**Uncorrected energy**: -118.64 eV/cell
**Magnetic moment**: 0.0 μB/f.u.
**Space group**: Cmmm

```
22
Lattice="1.569 -15.693 0.000 1.569 15.693 0.000 0.000 0.000 5.057" Properties=species:S:1:pos:R:3 pbc="T T T"
Mg 1.569 14.298 1.256
Mg 1.569 14.298 3.801
Mg 1.569 6.696 2.528
Mg 1.569 -6.696 2.528
Mg 1.569 -14.298 1.256
Mg 1.569 -14.298 3.801
B 1.569 9.947 0.854
B 1.569 9.947 4.203
B 1.569 4.980 0.931
B 1.569 4.980 4.126
B 1.569 3.187 0.909
B 1.569 3.187 4.148
B 1.569 2.462 2.528
B 1.569 -2.462 2.528
B 1.569 -3.187 0.909
B 1.569 -3.187 4.148
B 1.569 -4.980 0.931
B 1.569 -4.980 4.126
B 1.569 -9.947 0.854
B 1.569 -9.947 4.203
Mo 1.569 11.583 2.528
Mo 1.569 -11.583 2.528
```

=====

# 13
## SrHoAsO (PBE)

Data for an optimized crystal structure of SrHoAsO.

Output
**Uncorrected energy**: -45.29 eV/cell
**Magnetic moment**: 0.0 μB/f.u.
**Space group**: P4/nmm
**E above lowest polymorph**: 388 meV per atom

```
8
Lattice="4.386 0.000 0.000 0.000 4.386 0.000 0.000 0.000 9.207" Properties=species:S:1:pos:R:3 pbc="T T T"
Sr 1.097 3.290 0.000
Sr 3.290 1.097 0.000
Ho 1.097 1.097 3.828
Ho 3.290 3.290 5.379
As 1.097 1.097 7.155
As 3.290 3.290 2.052
O 1.097 3.290 4.604
O 3.290 1.097 4.604
```

=====

# 14
## Sm2Ho2CI3Br2 (PBE)

Data for an optimized crystal structure of Sm2Ho2CI3Br2.

Output
**Uncorrected energy**: -48.11 eV/cell
**Magnetic moment**: 0.3 μB/f.u.
**Space group**: C2/m
**E above lowest polymorph**: 5 meV per atom

```
10
Lattice="9.179 -1.982 0.000 9.179 1.982 0.000 -1.898 0.000 8.529" Properties=species:S:1:pos:R:3 pbc="T T T"
Sm -0.547 0.000 2.620
Sm 17.007 0.000 5.909
Ho 5.900 0.000 3.726
Ho 10.560 0.000 4.803
C 8.230 0.000 4.265
I 1.567 0.000 7.099
I 9.179 0.000 0.000
I 14.893 0.000 1.430
Br 2.462 0.000 2.992
Br 13.998 0.000 5.537
```

=====

# 15
## KNi (PBE)

Data for an optimized crystal structure of KNi.

Output
**Uncorrected energy**: -4.18 eV/cell
**Magnetic moment**: 1.0 μB/f.u.
**Space group**: Fm-3m
**E above lowest polymorph**: 594 meV per atom

```
2
Lattice="0.000 3.334 3.334 3.334 0.000 3.334 3.334 3.334 0.000" Properties=species:S:1:pos:R:3 pbc="T T T"
K 0.000 0.000 0.000
Ni 3.334 3.334 3.334
```

=====

# 16
## FeOsPdPb (PBE)

Data for an optimized crystal structure of FeOsPdPb.

Output
**Uncorrected energy**: -26.00 eV/cell
**Magnetic moment**: 3.0 μB/f.u.
**Space group**: F-43m
**E above lowest polymorph**: 0 meV per atom

```
4
Lattice="0.000 3.200 3.200 3.200 0.000 3.200 3.200 3.200 0.000" Properties=species:S:1:pos:R:3 pbc="T T T"
Fe 0.000 0.000 0.000
Os 3.200 3.200 3.200
Pd 1.600 1.600 1.600
Pb 4.799 4.799 4.799
```

=====

# 17
## Dy3ThS6 (PBE)

Data for an optimized crystal structure of Dy3ThS6.

Output
**Uncorrected energy**: -133.14 eV/cell
**Magnetic moment**: 0.0 μB/f.u.
**Space group**: P2_1/m

```
20
Lattice="11.040 0.000 0.000 0.000 3.941 0.000 -3.533 0.000 10.769" Properties=species:S:1:pos:R:3 pbc="T T T"
Dy 0.150 0.985 1.793
Dy 0.204 2.956 5.399
Dy 0.495 0.985 9.886
Dy 7.013 2.956 0.883
Dy 7.304 0.985 5.370
Dy 7.357 2.956 8.976
Th 3.915 0.985 3.279
Th 3.593 2.956 7.490
S -1.139 0.985 4.151
S -2.168 0.985 10.102
S 1.702 2.956 2.950
S 0.770 2.956 8.064
S 2.346 0.985 5.758
S 4.274 2.956 1.035
S 3.234 0.985 9.734
S 5.162 2.956 5.010
S 6.738 0.985 2.705
S 5.806 0.985 7.819
S 9.676 2.956 0.667
S 8.646 2.956 6.617
```

=====

# 18
## NbGeMo (PBE)

Data for an optimized crystal structure of NbGeMo.

Output
**Uncorrected energy**: -23.57 eV/cell
**Magnetic moment**: 0.0 μB/f.u.
**Space group**: F-43m

```
3
Lattice="0.000 3.100 3.100 3.100 0.000 3.100 3.100 3.100 0.000" Properties=species:S:1:pos:R:3 pbc="T T T"
Nb 0.000 0.000 0.000
Ge 4.650 4.650 4.650
Mo 1.550 1.550 1.550
```

=====

# 19
## ZrGaFeCu (PBE)

Data for an optimized crystal structure of ZrGaFeCu.

Output
**Uncorrected energy**: -23.76 eV/cell
**Magnetic moment**: 2.0 μB/f.u.
**Space group**: F-43m
**E above lowest polymorph**: 134 meV per atom

```
4
Lattice="0.000 3.134 3.134 3.134 0.000 3.134 3.134 3.134 0.000" Properties=species:S:1:pos:R:3 pbc="T T T"
Zr 0.000 0.000 0.000
Ga 1.567 1.567 1.567
Fe 4.700 4.700 4.700
Cu 3.134 3.134 3.134
```

=====

# 20
## PmPuTc (PBE)

Data for an optimized crystal structure of PmPuTc.

Output
**Uncorrected energy**: -26.91 eV/cell
**Magnetic moment**: 5.3 μB/f.u.
**Space group**: F-43m
**Formation enthalpy at 0 K**: 0.774 eV per atom
**E above lowest polymorph**: 0 meV per atom

```
3
Lattice="0.000 3.343 3.343 3.343 0.000 3.343 3.343 3.343 0.000" Properties=species:S:1:pos:R:3 pbc="T T T"
Pm 0.000 0.000 0.000
Pu 1.671 1.671 1.671
Tc 3.343 3.343 3.343
```

=====

# 21
## ScBeNiB (PBE)

Data for an optimized crystal structure of ScBeNiB.

Output
**Uncorrected energy**: -22.24 eV/cell
**Magnetic moment**: 0.0 μB/f.u.
**Space group**: F-43m
**E above lowest polymorph**: 154 meV per atom

```
4
Lattice="0.000 2.824 2.824 2.824 0.000 2.824 2.824 2.824 0.000" Properties=species:S:1:pos:R:3 pbc="T T T"
Sc 0.000 0.000 0.000
Be 2.824 2.824 2.824
Ni 4.236 4.236 4.236
B 1.412 1.412 1.412
```

=====

# 22
## ErSiPd (PBE)

Data for an optimized crystal structure of ErSiPd.

Output
**Uncorrected energy**: -145.63 eV/cell
**Magnetic moment**: 0.0 μB/f.u.
**Space group**: Pmmn

```
24
Lattice="4.303 0.000 0.000 0.000 13.797 0.000 0.000 0.000 7.426" Properties=species:S:1:pos:R:3 pbc="T T T"
Er 1.076 0.018 1.554
Er 1.076 3.449 2.227
Er 1.076 6.881 1.554
Er 1.076 10.348 2.171
Er 3.227 3.449 5.255
Er 3.227 6.916 5.872
Er 3.227 10.348 5.199
Er 3.227 13.779 5.872
Si 1.076 1.446 4.398
Si 1.076 5.452 4.398
Si 1.076 9.062 6.745
Si 1.076 11.634 6.745
Si 3.227 2.163 0.681
Si 3.227 4.735 0.681
Si 3.227 8.345 3.029
Si 3.227 12.351 3.029
Pd 1.076 1.953 6.857
Pd 1.076 4.945 6.857
Pd 1.076 8.194 4.322
Pd 1.076 12.501 4.322
Pd 3.227 1.296 3.104
Pd 3.227 5.603 3.104
Pd 3.227 8.852 0.569
Pd 3.227 11.844 0.569
```

=====

# 23
## HfTcGe (PBE)

Data for an optimized crystal structure of HfTcGe.

Output
**Uncorrected energy**: -25.03 eV/cell
**Magnetic moment**: 0.0 μB/f.u.
**Space group**: F-43m
**E above lowest polymorph**: 668 meV per atom

```
3
Lattice="0.000 3.082 3.082 3.082 0.000 3.082 3.082 3.082 0.000" Properties=species:S:1:pos:R:3 pbc="T T T"
Hf 0.000 0.000 0.000
Tc 4.623 4.623 4.623
Ge 3.082 3.082 3.082
```

=====

# 24
## Ni2SnS3 (PBE)

Data for an optimized crystal structure of Ni2SnS3.

Output
**Uncorrected energy**: -57.48 eV/cell
**Magnetic moment**: 0.0 μB/f.u.
**Space group**: Cmcm

```
12
Lattice="1.781 -6.571 0.000 1.781 6.571 0.000 0.000 0.000 8.502" Properties=species:S:1:pos:R:3 pbc="T T T"
Ni 0.000 0.000 0.000
Ni 0.000 0.000 4.251
Ni 1.781 0.322 6.377
Ni 1.781 -0.322 2.126
Sn 1.781 3.352 2.126
Sn 1.781 -3.352 6.377
S 1.781 5.641 6.377
S 1.781 1.771 4.722
S 1.781 1.771 8.032
S 1.781 -1.771 0.471
S 1.781 -1.771 3.780
S 1.781 -5.641 2.126
```

=====

# 25
## Ba2AcCd3 (PBE)

Data for an optimized crystal structure of Ba2AcCd3.

Output
**Uncorrected energy**: -12.59 eV/cell
**Magnetic moment**: 0.1 μB/f.u.
**Space group**: P4/mmm

```
6
Lattice="4.161 0.000 0.000 0.000 4.161 0.000 0.000 0.000 12.614" Properties=species:S:1:pos:R:3 pbc="T T T"
Ba 0.000 0.000 2.170
Ba 0.000 0.000 10.444
Ac 0.000 0.000 6.307
Cd 2.081 2.081 0.000
Cd 2.081 2.081 4.390
Cd 2.081 2.081 8.224
```

=====

# 26
## CsPrAg (PBE)

Data for an optimized crystal structure of CsPrAg.

Output
**Uncorrected energy**: -5.81 eV/cell
**Magnetic moment**: 0.0 μB/f.u.
**Space group**: F-43m
**E above lowest polymorph**: 207 meV per atom

```
3
Lattice="0.000 3.732 3.732 3.732 0.000 3.732 3.732 3.732 0.000" Properties=species:S:1:pos:R:3 pbc="T T T"
Cs 0.000 0.000 0.000
Pr 1.866 1.866 1.866
Ag 5.598 5.598 5.598
```